# KSrSmMnO6 PBE with a Hubbard U relaxed
data_KSrSmMnO6
_symmetry_space_group_name_H-M 'F -4 3 m'
_symmetry_Int_Tables_number 216
_symmetry_space_group_name_Hall 'F -4 2 3'
_cell_length_a 8.3736
_cell_length_b 8.3736
_cell_length_c 8.3736
_cell_angle_alpha 90.00
_cell_angle_beta 90.00
_cell_angle_gamma 90.00
loop_
_atom_site_label
_atom_site_type_symbol
_atom_site_fract_x
_atom_site_fract_y
_atom_site_fract_z
K1 K 0.0000 0.0000 0.0000
Sr1 Sr 0.0000 0.0000 0.5000
Sm1 Sm 0.2500 0.2500 0.2500
Mn1 Mn 0.2500 0.2500 0.7500
O1 O 0.0227 0.2500 0.7500
# - calculated total energy (eV per atom) = -6.421
# - calculated density (g cm⁻³) = 4.842
# - M_tot (μB/cell) = 20.1